Hf4Sn2Sb: relaxed, GGA-PBE.

For the formation energy (no corrections), the calculation gives 0.622 eV per atom. The value obtained for the magnetization is 0.0000 μB per atom. The calculation puts the energy relative to the lowest polymorph listed for this composition at 0.690 eV/atom.

The space group is I4/mmm (No. 139) and the conventional cell measures 5.0778, 5.0778 and 15.1697 Å, with angles of 90.00, 90.00 and 90.00 degrees. The asymmetric unit holds Hf at (0.0000, 0.0000, 0.1787), Hf at (0.0000, 0.5000, 0.0000), Sn at (0.0000, 0.0000, 0.3684) and Sb at (0.0000, 0.0000, 0.0000).